LaDy4Er2 | PBE | relaxed

Output
The energy above the most stable polymorph in this dataset comes out at 83 meV/atom.

Geometry as CIF:
```
data_LaDy4Er2
_symmetry_space_group_name_H-M 'P 1 21/m 1'
_symmetry_Int_Tables_number 11
_symmetry_space_group_name_Hall '-P 2yb'
_cell_length_a 6.1544
_cell_length_b 6.5520
_cell_length_c 11.4683
_cell_angle_alpha 90.00
_cell_angle_beta 104.05
_cell_angle_gamma 90.00
loop_
_atom_site_label
_atom_site_type_symbol
_atom_site_fract_x
_atom_site_fract_y
_atom_site_fract_z
_atom_site_occupancy
La1 La 0.0459 0.2500 0.3628 1
Dy1 Dy 0.1507 0.2500 0.6653 1
Dy2 Dy 0.2904 0.7500 0.9257 1
Dy3 Dy 0.3522 0.5088 0.2119 1
Er1 Er 0.1481 0.2500 0.9506 1
Er2 Er 0.3941 0.7500 0.5054 1
```



LaDy5Er3 | PBE | relaxed

Output
The energy above the most stable polymorph in this dataset comes out at 88 meV/atom.

Geometry as CIF:
```
data_LaDy5Er3
_symmetry_space_group_name_H-M 'C 1 2/m 1'
_symmetry_Int_Tables_number 12
_symmetry_space_group_name_Hall '-C 2y'
_cell_length_a 16.9661
_cell_length_b 7.9722
_cell_length_c 12.1703
_cell_angle_alpha 90.00
_cell_angle_beta 130.63
_cell_angle_gamma 90.00
loop_
_atom_site_label
_atom_site_type_symbol
_atom_site_fract_x
_atom_site_fract_y
_atom_site_fract_z
_atom_site_occupancy
La1 La 0.2374 0.0000 0.1373 1
Dy1 Dy 0.0000 0.3215 0.0000 1
Dy2 Dy 0.0640 0.2075 0.7797 1
Dy3 Dy 0.1234 0.0000 0.5682 1
Dy4 Dy 0.2009 0.5000 0.0718 1
Er1 Er 0.0000 0.0000 0.0000 1
Er2 Er 0.0000 0.5000 0.5000 1
Er3 Er 0.1220 0.5000 0.3196 1
Er4 Er 0.1647 0.0000 0.3383 1
```



La8DyEr4 | PBE | relaxed

Geometry as CIF:
```
data_La8DyEr4
_symmetry_space_group_name_H-M 'R -3 m'
_symmetry_Int_Tables_number 166
_symmetry_space_group_name_Hall '-R 3 2"'
_cell_length_a 11.2468
_cell_length_b 11.2468
_cell_length_c 13.7390
_cell_angle_alpha 90.00
_cell_angle_beta 90.00
_cell_angle_gamma 120.00
loop_
_atom_site_label
_atom_site_type_symbol
_atom_site_fract_x
_atom_site_fract_y
_atom_site_fract_z
_atom_site_occupancy
La1 La 0.0000 0.0000 0.2393 1
La2 La 0.0138 0.5069 0.7459 1
Dy1 Dy 0.0000 0.0000 0.5000 1
Er1 Er 0.0000 0.0000 0.0000 1
Er2 Er 0.0000 0.5000 0.0000 1
```



LaDy2Er6 | PBE | relaxed

Geometry as CIF:
```
data_LaDy2Er6
_symmetry_space_group_name_H-M 'C 1 2/m 1'
_symmetry_Int_Tables_number 12
_symmetry_space_group_name_Hall '-C 2y'
_cell_length_a 11.6618
_cell_length_b 3.4984
_cell_length_c 14.4611
_cell_angle_alpha 90.00
_cell_angle_beta 103.26
_cell_angle_gamma 90.00
loop_
_atom_site_label
_atom_site_type_symbol
_atom_site_fract_x
_atom_site_fract_y
_atom_site_fract_z
_atom_site_occupancy
La1 La 0.0000 0.0000 0.0000 1
Dy1 Dy 0.1074 0.5000 0.2250 1
Er1 Er 0.1223 0.0000 0.4456 1
Er2 Er 0.1378 0.5000 0.6546 1
Er3 Er 0.1994 0.5000 0.8938 1
```



Number 1: uncorrected energy -4.512 eV per atom, formation energy 0.88 eV per formula unit. Number 2: uncorrected energy -4.203 eV per atom, formation energy 3.80 eV per formula unit. Number 3: uncorrected energy -4.377 eV per atom, formation energy 5.38 eV per formula unit. Number 4: uncorrected energy -4.516 eV per atom, formation energy 0.87 eV per formula unit.